Entry 1:
KAsBr2: optimized geometry, PBE.

Its uncorrected formation energy is -0.423 eV per atom.

Cell lengths 4.4989, 7.2665, 4.0549 Å; angles 90.00, 90.00, 90.00 degrees
Fractional coordinates of all 4 atoms:
Br (0.0000, 0.0000, 0.0000)
Br (0.5000, 0.5000, 0.0000)
As (0.0000, 0.5000, 0.5000)
K (0.5000, 0.0000, 0.5000)

***

Entry 2:
KAs2Br: optimized geometry, PBE.

Its uncorrected formation energy is -0.402 eV per atom.

Cell lengths 6.2663, 6.2663, 6.2663 Å; angles 145.33, 116.79, 74.15 degrees
Fractional coordinates of all 4 atoms:
Br (0.5155, 0.5155, 0.0000)
As (0.9451, 0.9451, 0.0000)
K (0.2507, 0.7507, 0.5000)
As (0.7887, 0.2887, 0.5000)

***

These records have energy above the most stable polymorph in this dataset values of 247; 175 meV/atom, in the order they appear.
These records have raw total energy values of -10.78; -13.68 eV per cell, in the order they appear.